Compound: PmEuGaSb
Source: Alexandria
Functional: PBE
Structure: optimized geometry

Values from the calculation:
Its uncorrected formation energy is -0.62 eV per atom. As for the raw total energy: -24.648 eV/cell.

a b c (Å): 5.3837 5.3837 5.3837
angles (deg): 60.00 60.00 60.00
Last column: nearest neighbours and their distance in Å.
Atoms (fractional coordinates):
Pm1 0.0000 0.0000 0.0000  4 Ga 3.30, 4 Sb 3.30
Eu1 0.5000 0.5000 0.5000  4 Ga 3.30, 4 Sb 3.30
Ga1 0.7500 0.7500 0.7500  4 Pm 3.30, 4 Eu 3.30
Sb1 0.2500 0.2500 0.2500  4 Pm 3.30, 4 Eu 3.30